Record 1
Nb2Cd2O7: relaxed, PBE. Values from VASP.

Cell and atoms, written as Quantum ESPRESSO input:
```
&SYSTEM
  ibrav = 0, nat = 22, ntyp = 3
/
ATOMIC_SPECIES
Nb 92.91 Nb.upf
Cd 112.41 Cd.upf
O 16.00 O.upf
CELL_PARAMETERS angstrom
0.000 5.100 5.100
5.100 0.000 5.100
5.100 5.100 0.000
ATOMIC_POSITIONS crystal
Nb 0.000 0.000 0.000
Nb 0.000 0.000 0.500
Nb 0.000 0.500 0.000
Nb 0.500 0.000 0.000
Cd 0.000 0.500 0.500
Cd 0.500 0.000 0.500
Cd 0.500 0.500 0.000
Cd 0.500 0.500 0.500
O 0.108 0.108 0.642
O 0.108 0.642 0.108
O 0.108 0.642 0.642
O 0.125 0.125 0.125
O 0.358 0.358 0.892
O 0.358 0.892 0.358
O 0.358 0.892 0.892
O 0.642 0.108 0.108
O 0.642 0.108 0.642
O 0.642 0.642 0.108
O 0.875 0.875 0.875
O 0.892 0.358 0.358
O 0.892 0.358 0.892
O 0.892 0.892 0.358
```

Summary:
Its symmetry is No. 227. The mass density comes out at 6.54 g/cm³. As for the final energy: -6.906 eV per atom.

=====

Record 2
NaLuGeO4: relaxed, PBE. Values from VASP.

Cell and atoms, written as Quantum ESPRESSO input:
```
&SYSTEM
  ibrav = 0, nat = 28, ntyp = 4
/
ATOMIC_SPECIES
Na 22.99 Na.upf
Lu 174.97 Lu.upf
Ge 72.64 Ge.upf
O 16.00 O.upf
CELL_PARAMETERS angstrom
11.209 0.000 0.000
0.000 6.287 0.000
0.000 0.000 5.220
ATOMIC_POSITIONS crystal
Na 0.000 0.000 0.000
Na 0.000 0.500 0.000
Na 0.500 0.000 0.500
Na 0.500 0.500 0.500
Lu 0.224 0.250 0.494
Lu 0.276 0.750 0.994
Lu 0.724 0.250 0.006
Lu 0.776 0.750 0.506
Ge 0.098 0.750 0.551
Ge 0.402 0.250 0.051
Ge 0.598 0.750 0.949
Ge 0.902 0.250 0.449
O 0.048 0.250 0.328
O 0.111 0.750 0.221
O 0.176 0.537 0.711
O 0.176 0.963 0.711
O 0.324 0.037 0.211
O 0.324 0.463 0.211
O 0.389 0.250 0.721
O 0.452 0.750 0.828
O 0.548 0.250 0.172
O 0.611 0.750 0.279
O 0.676 0.537 0.789
O 0.676 0.963 0.789
O 0.824 0.037 0.289
O 0.824 0.463 0.289
O 0.889 0.250 0.779
O 0.952 0.750 0.672
```

Summary:
Its symmetry is No. 62. The mass density comes out at 6.04 g/cm³. As for the final energy: -6.829 eV per atom.

=====

Record 3
YEr2Sc3CuSe2: relaxed, PBE. Values from VASP.

Cell and atoms, written as Quantum ESPRESSO input:
```
&SYSTEM
  ibrav = 0, nat = 9, ntyp = 5
/
ATOMIC_SPECIES
Y 88.91 Y.upf
Er 167.26 Er.upf
Sc 44.96 Sc.upf
Cu 63.55 Cu.upf
Se 78.96 Se.upf
CELL_PARAMETERS angstrom
3.822 0.000 0.000
0.000 6.692 3.875
0.000 -6.692 3.875
ATOMIC_POSITIONS crystal
Y 0.000 0.000 0.000
Er 0.000 0.404 0.808
Er 0.000 0.808 0.404
Sc 0.500 0.160 0.405
Sc 0.500 0.405 0.160
Sc 0.500 0.649 0.649
Cu 0.000 0.407 0.407
Se 0.500 0.071 0.737
Se 0.500 0.737 0.071
```

Summary:
Its symmetry is No. 38. The mass density comes out at 6.53 g/cm³. As for the final energy: -5.788 eV per atom.

=====

Record 4
LiNbCuSn: relaxed, PBE. Values from VASP.

Cell and atoms, written as Quantum ESPRESSO input:
```
&SYSTEM
  ibrav = 0, nat = 4, ntyp = 4
/
ATOMIC_SPECIES
Li 6.94 Li.upf
Nb 92.91 Nb.upf
Cu 63.55 Cu.upf
Sn 118.71 Sn.upf
CELL_PARAMETERS angstrom
0.000 3.166 3.166
3.166 0.000 3.166
3.166 3.166 0.000
ATOMIC_POSITIONS crystal
Li 0.000 0.000 0.000
Nb 0.750 0.750 0.750
Cu 0.500 0.500 0.500
Sn 0.250 0.250 0.250
```

Summary:
Its symmetry is No. 216. The mass density comes out at 7.38 g/cm³. As for the final energy: -4.744 eV per atom.

=====

Record 5
SmThPd6: relaxed, PBE. Values from VASP.

Cell and atoms, written as Quantum ESPRESSO input:
```
&SYSTEM
  ibrav = 0, nat = 8, ntyp = 3
/
ATOMIC_SPECIES
Sm 150.36 Sm.upf
Th 232.04 Th.upf
Pd 106.42 Pd.upf
CELL_PARAMETERS angstrom
4.183 0.000 0.000
0.000 4.183 0.000
0.000 0.000 8.347
ATOMIC_POSITIONS crystal
Sm 0.000 0.000 0.000
Th 0.000 0.000 0.500
Pd 0.000 0.500 0.252
Pd 0.000 0.500 0.748
Pd 0.500 0.000 0.252
Pd 0.500 0.000 0.748
Pd 0.500 0.500 0.000
Pd 0.500 0.500 0.500
```

Summary:
The value obtained for the formation energy is -931 meV/atom. Its symmetry is No. 123. The mass density comes out at 11.61 g/cm³.

=====

Record 6
HoZr2: relaxed, PBE. Values from VASP.

Cell and atoms, written as Quantum ESPRESSO input:
```
&SYSTEM
  ibrav = 0, nat = 6, ntyp = 2
/
ATOMIC_SPECIES
Ho 164.93 Ho.upf
Zr 91.22 Zr.upf
CELL_PARAMETERS angstrom
5.081 -2.863 0.000
5.081 2.863 0.000
0.000 0.000 5.261
ATOMIC_POSITIONS crystal
Ho 0.180 0.820 0.750
Ho 0.820 0.180 0.250
Zr 0.166 0.480 0.250
Zr 0.480 0.166 0.750
Zr 0.520 0.834 0.250
Zr 0.834 0.520 0.750
```

Summary:
The value obtained for the formation energy is 31 meV/atom. Its symmetry is No. 63. The mass density comes out at 7.54 g/cm³.

=====

Question: Look up the mass density of the second one.
Answer: 6.04 g/cm³